# PmPrCdRh

A relaxed PmPrCdRh crystal (PBE, Alexandria).

POSCAR file:
```
PmPrCdRh
1.0
0.000 3.695 3.695
3.695 0.000 3.695
3.695 3.695 0.000
Pm Pr Cd Rh
1 1 1 1
direct
0.000 0.000 0.000
0.500 0.500 0.500
0.250 0.250 0.250
0.750 0.750 0.750
```

Its space-group type is F-43m. The total DFT energy (no corrections) is -19.5 eV/f.u. For the spin magnetization, the calculation gives 0.00 Bohr magnetons per cell. The volume comes out at 25.2 Å³ per atom. For the density, the calculation gives 8.2 g/cm3. The calculated formation energy comes out at -0.418 eV/atom.



# PmPrScCd

A relaxed PmPrScCd crystal (PBE, Alexandria).

POSCAR file:
```
PmPrScCd
1.0
0.000 3.867 3.867
3.867 0.000 3.867
3.867 3.867 0.000
Pm Pr Sc Cd
1 1 1 1
direct
0.000 0.000 0.000
0.500 0.500 0.500
0.750 0.750 0.750
0.250 0.250 0.250
```

The energy above the lowest structure with this stoichiometry is 0.064 eV/atom. Its space-group type is F-43m. The total DFT energy (no corrections) is -17.0 eV/f.u. For the spin magnetization, the calculation gives 0.00 Bohr magnetons per cell. The volume comes out at 28.9 Å³ per atom. For the density, the calculation gives 6.4 g/cm3. The calculated formation energy comes out at -0.059 eV/atom.



# PmPrScCd

A relaxed PmPrScCd crystal (PBE, Alexandria).

POSCAR file:
```
PmPrScCd
1.0
3.585 0.000 0.000
0.000 3.585 0.000
0.000 0.000 8.984
Pm Pr Sc Cd
1 1 1 1
direct
0.000 0.000 0.000
0.500 0.500 0.299
0.500 0.500 0.742
0.000 0.000 0.555
```

The energy above the lowest structure with this stoichiometry is 0.000 eV/atom. Its space-group type is P4mm. The total DFT energy (no corrections) is -17.3 eV/f.u. For the spin magnetization, the calculation gives 0.00 Bohr magnetons per cell. The volume comes out at 28.9 Å³ per atom. For the density, the calculation gives 6.4 g/cm3. The calculated formation energy comes out at -0.123 eV/atom.